BeTeC2 | PBEsol | optimized geometry

Calculated values
DFT total energy in eV/f.u.: -17.743
Spin magnetization in μB per formula unit: 0.00
Symmetry: No. 225
Uncorrected formation energy in kJ/mol of formula units: 875

abc: 3.9547 3.9547 3.9547
angles: 60.00 60.00 60.00
Closest atoms and distances in Å follow each position.
Positions (direct):
Be 0.0000 0.0000 0.0000  8 C 2.42
Te 0.5000 0.5000 0.5000  8 C 2.42
C 0.2500 0.2500 0.2500  4 Be 2.42, 4 Te 2.42
C 0.7500 0.7500 0.7500  4 Be 2.42, 4 Te 2.42